Record 1
## TcTeH2Pd (PBE-GGA)

Data for a relaxed TcTeH2Pd crystal.

POSCAR file:
```
TcTeH2Pd
1.0
3.7233 0.0000 0.0000
0.0000 3.7233 0.0000
0.0000 0.0000 5.5306
Tc Te H Pd
1 1 2 1
Direct
0.0000 0.0000 0.0000 Tc
0.5000 0.5000 0.0000 Te
0.0000 0.5000 0.5000 H
0.5000 0.0000 0.5000 H
0.5000 0.5000 0.5000 Pd
```

---

Record 2
## ScTl2 (PBE-GGA)

Data for a relaxed ScTl2 crystal.

POSCAR file:
```
ScTl2
1.0
1.7863 -7.5261 0.0000
1.7863 7.5261 0.0000
0.0000 0.0000 5.8971
Sc Tl
2 4
Direct
0.2502 0.7498 0.7500 Sc
0.7498 0.2502 0.2500 Sc
0.0866 0.9134 0.2500 Tl
0.4130 0.5870 0.2500 Tl
0.5870 0.4130 0.7500 Tl
0.9134 0.0866 0.7500 Tl
```

Results
ΔE_f: -0.023 eV/atom

---

| no. | final energy (eV per atom) |
| --- | --- |
| 1 | -4.449 |
| 2 | -3.711 |